Record 1
A plane-wave DFT calculation with PBE was carried out for a relaxed structure of CaTc2NiAs.

It has space group P4/mmm (No. 123), with a = 4.685 Å, b = 4.685 Å, c = 4.427 Å, α = 90.00°, β = 90.00° and γ = 90.00°. Symmetry generates all atoms from Ca at (0.000, 0.000, 0.000), Tc at (0.000, 0.500, 0.500), Ni at (0.500, 0.500, 0.000) and As at (0.500, 0.500, 0.500).

The density is 6.3 Mg/m³. For the volume, the calculation gives 97 Å³/cell. The calculation puts the calculated formation energy at 2.472 eV per formula unit.

***

Record 2
A plane-wave DFT calculation with PBE was carried out for a relaxed structure of CaThNi2As2.

It has space group P-3m1 (No. 164), with a = 4.1096 Å, b = 4.1096 Å, c = 8.0935 Å, α = 90.00°, β = 90.00° and γ = 120.00°. Symmetry generates all atoms from Ca at (0.0000, 0.0000, 0.0000), Th at (0.0000, 0.0000, 0.5000), Ni at (0.3333, 0.6667, 0.2713) and As at (0.3333, 0.6667, 0.7548).

The density is 7.6 Mg/m³. For the volume, the calculation gives 118 Å³/cell. The calculation puts the calculated formation energy at -5.899 eV per formula unit.

***

Record 3
A plane-wave DFT calculation with PBE was carried out for a relaxed structure of Ca2TiNi3As4.

It has space group P-4m2 (No. 115), with a = 4.144 Å, b = 4.144 Å, c = 10.165 Å, α = 90.00°, β = 90.00° and γ = 90.00°. Symmetry generates all atoms from Ca at (0.000, 0.500, 0.234), Ti at (0.000, 0.000, 0.500), Ni at (0.000, 0.500, 0.880), Ni at (0.500, 0.500, 0.500), As at (0.000, 0.000, 0.000), As at (0.000, 0.500, 0.644) and As at (0.500, 0.500, 0.000).

The density is 5.7 Mg/m³. For the volume, the calculation gives 175 Å³/cell. The calculation puts the calculated formation energy at -7.396 eV per formula unit.

***

Record 4
A plane-wave DFT calculation with PBE was carried out for a relaxed structure of Ca2TiNiAs.

It has space group P4/mmm (No. 123), with a = 5.483 Å, b = 5.483 Å, c = 4.807 Å, α = 90.00°, β = 90.00° and γ = 90.00°. Symmetry generates all atoms from Ca at (0.000, 0.500, 0.000), Ti at (0.000, 0.000, 0.500), Ni at (0.500, 0.500, 0.500) and As at (0.000, 0.000, 0.000).

The density is 3.0 Mg/m³. For the volume, the calculation gives 145 Å³/cell. The calculation puts the calculated formation energy at 0.973 eV per formula unit.

***

Record 5
A plane-wave DFT calculation with PBE was carried out for a relaxed structure of CaTmNi2As2.

It has space group P-3m1 (No. 164), with a = 4.0335 Å, b = 4.0335 Å, c = 7.9811 Å, α = 90.00°, β = 90.00° and γ = 120.00°. Symmetry generates all atoms from Ca at (0.0000, 0.0000, 0.0000), Tm at (0.0000, 0.0000, 0.5000), Ni at (0.3333, 0.6667, 0.7305) and As at (0.3333, 0.6667, 0.2591).

The density is 7.0 Mg/m³. For the volume, the calculation gives 112 Å³/cell. The calculation puts the calculated formation energy at -5.662 eV per formula unit.

***

Record 6
A plane-wave DFT calculation with PBE was carried out for a relaxed structure of Ca3U3NiAs8.

It has space group R-3m (No. 166, hexagonal axes), with a = 7.9962 Å, b = 7.9962 Å, c = 21.0918 Å, α = 90.00°, β = 90.00° and γ = 120.00°. Symmetry generates all atoms from Ca at (0.0000, 0.5000, 0.0000), U at (0.0000, 0.5000, 0.5000), Ni at (0.0000, 0.0000, 0.5000), As at (0.0000, 0.0000, 0.2449) and As at (0.0259, 0.5130, 0.2372).

The density is 6.4 Mg/m³. For the volume, the calculation gives 1168 Å³/cell. The calculation puts the calculated formation energy at -9.464 eV per formula unit.

***

Record 7
A plane-wave DFT calculation with PBE was carried out for a relaxed structure of CaYNi2As2.

It has space group P-3m1 (No. 164), with a = 4.0473 Å, b = 4.0473 Å, c = 8.0676 Å, α = 90.00°, β = 90.00° and γ = 120.00°. Symmetry generates all atoms from Ca at (0.0000, 0.0000, 0.0000), Y at (0.0000, 0.0000, 0.5000), Ni at (0.3333, 0.6667, 0.7371) and As at (0.3333, 0.6667, 0.2562).

The density is 5.7 Mg/m³. For the volume, the calculation gives 114 Å³/cell. The calculation puts the calculated formation energy at -5.726 eV per formula unit.

***

Record 8
A plane-wave DFT calculation with PBE was carried out for a relaxed structure of Ca2ZnNi3As4.

It has space group P-4m2 (No. 115), with a = 4.168 Å, b = 4.168 Å, c = 9.965 Å, α = 90.00°, β = 90.00° and γ = 90.00°. Symmetry generates all atoms from Ca at (0.000, 0.500, 0.242), Zn at (0.000, 0.000, 0.500), Ni at (0.000, 0.500, 0.881), Ni at (0.500, 0.500, 0.500), As at (0.000, 0.000, 0.000), As at (0.000, 0.500, 0.644) and As at (0.500, 0.500, 0.000).

The density is 6.0 Mg/m³. For the volume, the calculation gives 173 Å³/cell. The calculation puts the calculated formation energy at -6.332 eV per formula unit.

***

Record 9
A plane-wave DFT calculation with PBE was carried out for a relaxed structure of CaNpAs2.

It has space group R3m (No. 160, hexagonal axes), with a = 4.1439 Å, b = 4.1439 Å, c = 21.1330 Å, α = 90.00°, β = 90.00° and γ = 120.00°. Symmetry generates all atoms from Ca at (0.0000, 0.0000, 0.0000), Np at (0.0000, 0.0000, 0.8286), As at (0.0000, 0.0000, 0.2388) and As at (0.0000, 0.0000, 0.4208).

The density is 6.8 Mg/m³. The excess energy over the best structure of this formula in the dataset comes out at 81 meV/atom. For the volume, the calculation gives 314 Å³/cell. The calculation puts the calculated formation energy at -3.316 eV per formula unit.

***

Record 10
A plane-wave DFT calculation with PBE was carried out for a relaxed structure of Ca2NpAs3.

It has space group C2/m (No. 12), with a = 7.270 Å, b = 12.587 Å, c = 7.223 Å, α = 90.00°, β = 109.61° and γ = 90.00°. Symmetry generates all atoms from Ca at (0.000, 0.000, 0.000), Ca at (0.000, 0.162, 0.500), Ca at (0.000, 0.500, 0.500), Np at (0.000, 0.333, 0.000), As at (0.226, 0.500, 0.230) and As at (0.248, 0.324, 0.771).

The density is 5.8 Mg/m³. For the volume, the calculation gives 623 Å³/cell. The calculation puts the calculated formation energy at -5.715 eV per formula unit.

***

Record 11
A plane-wave DFT calculation with PBE was carried out for a relaxed structure of CaNpAs2.

It has space group I4_1/amd (No. 141, origin choice 2), with a = 5.851 Å, b = 5.851 Å, c = 11.911 Å, α = 90.00°, β = 90.00° and γ = 90.00°. Symmetry generates all atoms from Ca at (0.000, 0.250, 0.375), Np at (0.000, 0.250, 0.875) and As at (0.000, 0.250, 0.113).

The density is 7.0 Mg/m³. The excess energy over the best structure of this formula in the dataset comes out at 22 meV/atom. For the volume, the calculation gives 408 Å³/cell. The calculation puts the calculated formation energy at -3.551 eV per formula unit.

***

Record 12
A plane-wave DFT calculation with PBE was carried out for a relaxed structure of CaNp2As3.

It has space group Cmcm (No. 63), with a = 12.859 Å, b = 7.091 Å, c = 7.354 Å, α = 90.00°, β = 90.00° and γ = 90.00°. Symmetry generates all atoms from Ca at (0.000, 0.034, 0.250), Np at (0.163, 0.500, 0.000), As at (0.000, 0.387, 0.750) and As at (0.206, 0.202, 0.250).

The density is 7.3 Mg/m³. For the volume, the calculation gives 671 Å³/cell. The calculation puts the calculated formation energy at -3.529 eV per formula unit.

***

Q: Which raw total energy values were calculated for the entries above? A: -6.1385, -6.0304, -5.5236, -4.2712, -5.4995, -6.1541, -5.8422, -4.7551, -6.8893, -6.1013, -6.9481, -7.5602, in eV per atom.